# 1
Density functional theory data (PBE) for a relaxed structure of NbAlFe.

a b c (Å): 6.9627 6.9627 6.9627
angles (deg): 146.25 62.25 129.36
Closest atoms and distances in Å follow each position.
Positions (direct):
1 Nb 0.0000 0.0000 0.0000  4 Fe 2.51-2.54
2 Nb 0.3762 0.0418 0.3345  4 Fe 2.50-2.63, 2 Al 2.76
3 Nb 0.7073 0.0418 0.6655  4 Fe 2.50-2.63, 2 Al 2.76
4 Al 0.2142 0.5376 0.6766  4 Fe 2.46-2.48
5 Al 0.5212 0.5212 0.0000  4 Fe 2.41-2.58
6 Al 0.8610 0.5376 0.3234  4 Fe 2.46-2.48
7 Fe 0.1166 0.2782 0.8384  4 Al 2.41-2.48, 4 Nb 2.50-2.56
8 Fe 0.2510 0.7510 0.5000  4 Al 2.46-2.58, 4 Nb 2.51-2.63
9 Fe 0.4397 0.2782 0.1616  4 Al 2.41-2.48, 4 Nb 2.50-2.56

Output
Energy of formation from the pure elements (eV per atom): -0.08
Total magnetic moment (μB per formula unit): 0.00
E (eV per atom): -7.50
ρ (kg/m3): 6101
Space-group type: Imm2 (44)

# 2
Density functional theory data (PBE) for a relaxed structure of AcPmPBr.

a b c (Å): 8.2077 8.2077 8.2077
angles (deg): 29.45 29.45 29.45
Closest atoms and distances in Å follow each position.
Positions (direct):
1 Ac 0.0000 0.0000 0.0000  3 P 3.00
2 Pm 0.8037 0.8037 0.8037  3 P 2.80
3 P 0.4096 0.4096 0.4096  3 Pm 2.80, 3 Ac 3.00
4 Br 0.2282 0.2282 0.2282  3 Pm 3.23, 3 Ac 3.45

Output
ΔE_f (raw) (eV/f.u.): -5.83
Total magnetic moment (μB per formula unit): 0.00
E (eV per atom): -5.44
Polymorph energy (0 for the lowest one) (eV/atom): 0.0000
ρ (kg/m3): 6780
Space-group type: R3m (160)

# 3
Density functional theory data (PBE) for a relaxed structure of AcSmCu2.

a b c (Å): 5.2069 5.2069 5.2069
angles (deg): 60.00 60.00 60.00
Closest atoms and distances in Å follow each position.
Positions (direct):
1 Ac 0.0000 0.0000 0.0000  8 Cu 3.19
2 Sm 0.5000 0.5000 0.5000  8 Cu 3.19
3 Cu 0.2500 0.2500 0.2500  4 Sm 3.19, 4 Ac 3.19
4 Cu 0.7500 0.7500 0.7500  4 Sm 3.19, 4 Ac 3.19

Output
Energy of formation from the pure elements (eV per atom): -0.10
Total magnetic moment (μB per formula unit): 0.00
E (eV per atom): -4.35
Polymorph energy (0 for the lowest one) (eV/atom): 0.0527
ρ (kg/m3): 8392
Space-group type: Fm-3m (225)

# 4
Density functional theory data (PBE) for a relaxed structure of AcLa5Nd2Sm.

a b c (Å): 8.1080 8.1080 10.4224
angles (deg): 90.00 90.00 90.00
Closest atoms and distances in Å follow each position.
Positions (direct):
1 Ac 0.0000 0.0000 0.0000  8 La 3.86, 4 Sm 4.05
2 Ac 0.5000 0.5000 0.0000  8 La 3.86, 4 Sm 4.05
3 La 0.0000 0.0000 0.5000  4 Nd 3.18
4 La 0.2005 0.2995 0.2427  1 Nd 3.31, 1 Sm 3.42
5 La 0.2005 0.2995 0.7573  1 Nd 3.31, 1 Sm 3.42
6 La 0.2995 0.7995 0.2427  1 Nd 3.31, 1 Sm 3.42
7 La 0.2995 0.7995 0.7573  1 Nd 3.31, 1 Sm 3.42
8 La 0.5000 0.5000 0.5000  4 Nd 3.18
9 La 0.7005 0.2005 0.2427  1 Nd 3.31, 1 Sm 3.42
10 La 0.7005 0.2005 0.7573  1 Nd 3.31, 1 Sm 3.42
11 La 0.7995 0.7005 0.2427  1 Nd 3.31, 1 Sm 3.42
12 La 0.7995 0.7005 0.7573  1 Nd 3.31, 1 Sm 3.42
13 Nd 0.1303 0.6303 0.5000  1 Nd 2.99, 4 La 3.18-3.31
14 Nd 0.3697 0.1303 0.5000  1 Nd 2.99, 4 La 3.18-3.31
15 Nd 0.6303 0.8697 0.5000  1 Nd 2.99, 4 La 3.18-3.31
16 Nd 0.8697 0.3697 0.5000  1 Nd 2.99, 4 La 3.18-3.31
17 Sm 0.0000 0.5000 0.0000  4 La 3.42
18 Sm 0.5000 0.0000 0.0000  4 La 3.42

Output
Energy of formation from the pure elements (eV per atom): 0.22
Total magnetic moment (μB per formula unit): 0.00
E (eV per atom): -4.55
ρ (kg/m3): 6594
Space-group type: P4/mbm (127)

# 5
Density functional theory data (PBE) for a relaxed structure of Zr2PaPb.

a b c (Å): 10.5586 10.5586 10.5586
angles (deg): 18.20 18.20 18.20
Closest atoms and distances in Å follow each position.
Positions (direct):
1 Zr 0.2493 0.2493 0.2493  3 Pb 3.21, 3 Pa 3.25, 6 Zr 3.34
2 Zr 0.7507 0.7507 0.7507  3 Pb 3.21, 3 Pa 3.25, 6 Zr 3.34
3 Pa 0.0000 0.0000 0.0000  6 Zr 3.25, 6 Pa 3.34
4 Pb 0.5000 0.5000 0.5000  6 Zr 3.21, 6 Pb 3.34

Output
Energy of formation from the pure elements (eV per atom): 0.08
Total magnetic moment (μB per formula unit): 0.00
E (eV per atom): -7.50
Polymorph energy (0 for the lowest one) (eV/atom): 0.1765
ρ (kg/m3): 10281
Space-group type: R-3m (166)

# 6
Density functional theory data (PBE) for a relaxed structure of Ce6In2Fe.

a b c (Å): 6.9610 6.9610 6.9610
angles (deg): 121.28 121.06 87.99
Closest atoms and distances in Å follow each position.
Positions (direct):
1 Ce 0.2367 0.2367 0.0000  1 Fe 2.37
2 Ce 0.2753 0.2839 0.5592  1 Fe 2.70, 1 Ce 2.95
3 Ce 0.2753 0.7161 0.9915  1 Fe 2.70, 1 Ce 2.95
4 Ce 0.7247 0.2839 0.0085  1 Fe 2.70, 1 Ce 2.95
5 Ce 0.7247 0.7161 0.4408  1 Fe 2.70, 1 Ce 2.95
6 Ce 0.7633 0.7633 0.0000  1 Fe 2.37
7 In 0.2530 0.7530 0.5000  12 Ce 3.42-3.50
8 In 0.7470 0.2470 0.5000  12 Ce 3.42-3.50
9 Fe 0.0000 0.0000 0.0000  2 Ce 2.37

Output
Energy of formation from the pure elements (eV per atom): -0.22
Total magnetic moment (μB per formula unit): 2.11
E (eV per atom): -5.73
ρ (kg/m3): 7987
Space-group type: Immm (71)

# 7
Density functional theory data (PBE) for a relaxed structure of CsPu4Cu3Te12.

a b c (Å): 9.6089 9.6089 9.6089
angles (deg): 109.47 109.47 109.47
Closest atoms and distances in Å follow each position.
Positions (direct):
1 Cs 0.0000 0.0000 0.0000  12 Te 4.07
2 Pu 0.0000 0.0000 0.5000  6 Te 3.07
3 Pu 0.0000 0.5000 0.0000  6 Te 3.07
4 Pu 0.5000 0.0000 0.0000  6 Te 3.07
5 Pu 0.5000 0.5000 0.5000  6 Te 3.07
6 Cu 0.0000 0.5000 0.5000  4 Te 2.60
7 Cu 0.5000 0.0000 0.5000  4 Te 2.60
8 Cu 0.5000 0.5000 0.0000  4 Te 2.60
9 Te 0.1610 0.3292 0.4902  1 Cu 2.60
10 Te 0.1610 0.6708 0.8318  1 Cu 2.60
11 Te 0.1682 0.8390 0.3292  1 Cu 2.60
12 Te 0.3292 0.1682 0.8390  1 Cu 2.60
13 Te 0.3292 0.4902 0.1610  1 Cu 2.60
14 Te 0.4902 0.1610 0.3292  1 Cu 2.60
15 Te 0.5098 0.8390 0.6708  1 Cu 2.60
16 Te 0.6708 0.5098 0.8390  1 Cu 2.60
17 Te 0.6708 0.8318 0.1610  1 Cu 2.60
18 Te 0.8318 0.1610 0.6708  1 Cu 2.60
19 Te 0.8390 0.3292 0.1682  1 Cu 2.60
20 Te 0.8390 0.6708 0.5098  1 Cu 2.60

Output
ΔE_f (raw) (eV/f.u.): -8.56
Total magnetic moment (μB per formula unit): 18.23
E (eV per atom): -5.84
ρ (kg/m3): 6883
Space-group type: Im-3 (204)

# 8
Density functional theory data (PBE) for a relaxed structure of Cs3ThTe4.

a b c (Å): 9.3108 9.3108 4.8373
angles (deg): 90.00 90.00 107.55
Closest atoms and distances in Å follow each position.
Positions (direct):
1 Cs 0.0000 0.0000 0.0000  6 Te 4.15-4.42
2 Cs 0.0000 0.5000 0.5000  6 Te 3.72-3.81
3 Cs 0.5000 0.0000 0.5000  6 Te 3.72-3.81
4 Th 0.5000 0.5000 0.0000  6 Te 3.09-3.22
5 Te 0.2943 0.7057 0.0000  1 Th 3.09
6 Te 0.3067 0.3067 0.5000  2 Th 3.22
7 Te 0.6933 0.6933 0.5000  2 Th 3.22
8 Te 0.7057 0.2943 0.0000  1 Th 3.09

Output
ΔE_f (raw) (eV/f.u.): -8.28
Total magnetic moment (μB per formula unit): 0.59
E (eV per atom): -3.85
ρ (kg/m3): 4739
Space-group type: Cmmm (65)

# 9
Density functional theory data (PBE) for a relaxed structure of NiSb2Cl8.

a b c (Å): 6.6591 6.6591 10.6670
angles (deg): 102.82 102.82 54.88
Closest atoms and distances in Å follow each position.
Positions (direct):
1 Ni 0.0000 0.0000 0.0000  4 Cl 2.16
2 Sb 0.1874 0.1874 0.3271  1 Cl 2.34
3 Sb 0.8126 0.8126 0.6729  1 Cl 2.34
4 Cl 0.1370 0.6485 0.8803  1 Ni 2.16
5 Cl 0.2821 0.2821 0.5945  1 Sb 2.79
6 Cl 0.3515 0.8630 0.1197  1 Ni 2.16
7 Cl 0.3774 0.3774 0.2983  1 Sb 2.34
8 Cl 0.6226 0.6226 0.7017  1 Sb 2.34
9 Cl 0.6485 0.1370 0.8803  1 Ni 2.16
10 Cl 0.7179 0.7179 0.4055  1 Sb 2.79
11 Cl 0.8630 0.3515 0.1197  1 Ni 2.16

Output
ΔE_f (raw) (eV/f.u.): -7.50
Total magnetic moment (μB per formula unit): 0.16
E (eV per atom): -3.30
ρ (kg/m3): 2597
Space-group type: C2/m (12)

# 10
Density functional theory data (PBE) for a relaxed structure of Si2Sn2I.

a b c (Å): 9.5847 9.5847 9.5847
angles (deg): 157.26 157.26 32.38
Closest atoms and distances in Å follow each position.
Positions (direct):
1 Si 0.2500 0.7500 0.5000  4 Si 2.67, 4 Sn 2.93
2 Si 0.7500 0.2500 0.5000  4 Si 2.67, 4 Sn 2.93
3 Sn 0.1281 0.1281 0.0000  4 Si 2.93
4 Sn 0.8719 0.8719 0.0000  4 Si 2.93
5 I 0.5000 0.5000 0.0000  8 Sn 3.56, 4 I 3.78

Output
ΔE_f (raw) (eV/f.u.): 0.79
Total magnetic moment (μB per formula unit): 0.00
E (eV per atom): -3.92
Polymorph energy (0 for the lowest one) (eV/atom): 0.0072
ρ (kg/m3): 5309
Space-group type: I4/mmm (139)

# 11
Density functional theory data (PBE) for a relaxed structure of HgI2O2.

a b c (Å): 4.1668 4.1668 8.4053
angles (deg): 90.00 90.00 90.00
Closest atoms and distances in Å follow each position.
Positions (direct):
1 Hg 0.0000 0.0000 0.0000  4 I 2.95
2 I 0.5000 0.5000 0.0000  4 Hg 2.95
3 I 0.5000 0.5000 0.5000  4 O 2.08
4 O 0.0000 0.5000 0.5000  2 I 2.08
5 O 0.5000 0.0000 0.5000  2 I 2.08

Output
ΔE_f (raw) (eV/f.u.): 0.19
Total magnetic moment (μB per formula unit): 0.00
E (eV per atom): -2.63
Polymorph energy (0 for the lowest one) (eV/atom): 0.0000
ρ (kg/m3): 5535
Space-group type: P4/mmm (123)

# 12
Density functional theory data (PBE) for a relaxed structure of TbHoMgPt.

a b c (Å): 5.0834 5.0834 5.0834
angles (deg): 60.00 60.00 60.00
Closest atoms and distances in Å follow each position.
Positions (direct):
1 Tb 0.0000 0.0000 0.0000  4 Mg 3.11, 4 Pt 3.11
2 Ho 0.5000 0.5000 0.5000  4 Mg 3.11, 4 Pt 3.11
3 Mg 0.7500 0.7500 0.7500  4 Tb 3.11, 4 Ho 3.11
4 Pt 0.2500 0.2500 0.2500  4 Tb 3.11, 4 Ho 3.11

Output
Energy of formation from the pure elements (eV per atom): -0.60
Total magnetic moment (μB per formula unit): 0.00
E (eV per atom): -4.81
ρ (kg/m3): 9712
Space-group type: F-43m (216)

What is the formula in the first record?
NbAlFe

Among the records above, which one has the highest ρ?
Zr2PaPb

Look up the E of the eighth one.
-3.85 eV per atom